RbSrZr2S: relaxed, PBE.

final energy	-2.991	eV per atom
formation energy from raw total energies	1784	meV/atom

```
data_RbSrZr2S
_symmetry_space_group_name_H-M 'P 4/m m m'
_symmetry_Int_Tables_number 123
_symmetry_space_group_name_Hall '-P 4 2'
_cell_length_a 5.010
_cell_length_b 5.010
_cell_length_c 6.427
_cell_angle_alpha 90.00
_cell_angle_beta 90.00
_cell_angle_gamma 90.00
loop_
_atom_site_label
_atom_site_type_symbol
_atom_site_fract_x
_atom_site_fract_y
_atom_site_fract_z
Rb1 Rb 0.000 0.000 0.000
Sr1 Sr 0.000 0.000 0.500
Zr1 Zr 0.000 0.500 0.000
S1 S 0.500 0.500 0.500
```